(1)
# TaRuAu2 (PBE, relaxed)
data_TaRuAu2
_chemical_formula_sum 'Ta1 Ru1 Au2'
_cell_length_a 5.200
_cell_length_b 5.200
_cell_length_c 5.200
_cell_angle_alpha 136.26
_cell_angle_beta 136.33
_cell_angle_gamma 63.53
_space_group_name_H-M_alt 'P 1'
_space_group_IT_number 1
_space_group_name_Hall 'P 1'
loop_
_atom_site_label
_atom_site_type_symbol
_atom_site_fract_x
_atom_site_fract_y
_atom_site_fract_z
_atom_site_occupancy
Ta1 Ta 0.250 0.750 0.500 1
Au1 Au 0.500 0.500 0.000 1
Ru1 Ru 0.750 0.250 0.500 1
Au2 Au 0.000 0.000 0.000 1
# Energy relative to the lowest polymorph listed for this composition (meV/atom): 38
# Density of states at the Fermi level (states/eV/f.u.): 2.17
# Energy relative to the elements (kJ per mole of atoms): -3.8
# SG: No. 139

(2)
# BaHg3Mo (PBE, relaxed)
data_BaHg3Mo
_chemical_formula_sum 'Ba1 Hg3 Mo1'
_cell_length_a 6.374
_cell_length_b 6.374
_cell_length_c 6.374
_cell_angle_alpha 90.00
_cell_angle_beta 90.00
_cell_angle_gamma 90.00
_space_group_name_H-M_alt 'P 1'
_space_group_IT_number 1
_space_group_name_Hall 'P 1'
loop_
_atom_site_label
_atom_site_type_symbol
_atom_site_fract_x
_atom_site_fract_y
_atom_site_fract_z
_atom_site_occupancy
Mo1 Mo 0.500 0.500 0.500 1
Hg1 Hg 0.000 0.000 0.500 1
Hg2 Hg 0.500 0.000 0.000 1
Hg3 Hg 0.000 0.500 0.000 1
Ba1 Ba 0.000 0.000 0.000 1
# Energy relative to the lowest polymorph listed for this composition (meV/atom): 1013
# Density of states at the Fermi level (states/eV/f.u.): 3.61
# Energy relative to the elements (kJ per mole of atoms): 118.1
# SG: No. 221

(3)
# LaMg2 (PBE, relaxed)
data_LaMg2
_chemical_formula_sum 'La2 Mg4'
_cell_length_a 6.210
_cell_length_b 6.210
_cell_length_c 6.210
_cell_angle_alpha 60.00
_cell_angle_beta 60.00
_cell_angle_gamma 60.00
_space_group_name_H-M_alt 'P 1'
_space_group_IT_number 1
_space_group_name_Hall 'P 1'
loop_
_atom_site_label
_atom_site_type_symbol
_atom_site_fract_x
_atom_site_fract_y
_atom_site_fract_z
_atom_site_occupancy
La1 La 0.250 0.250 0.250 1
Mg1 Mg 0.125 0.625 0.625 1
Mg2 Mg 0.625 0.625 0.125 1
Mg3 Mg 0.625 0.125 0.625 1
Mg4 Mg 0.625 0.625 0.625 1
La2 La 0.000 0.000 0.000 1
# Density of states at the Fermi level (states/eV/f.u.): 2.36
# Energy relative to the elements (kJ per mole of atoms): -12.6
# SG: No. 227

(4)
# DyHo2Pt (PBE, relaxed)
data_DyHo2Pt
_chemical_formula_sum 'Dy1 Ho2 Pt1'
_cell_length_a 3.671
_cell_length_b 3.671
_cell_length_c 10.742
_cell_angle_alpha 80.16
_cell_angle_beta 80.16
_cell_angle_gamma 60.00
_space_group_name_H-M_alt 'P 1'
_space_group_IT_number 1
_space_group_name_Hall 'P 1'
loop_
_atom_site_label
_atom_site_type_symbol
_atom_site_fract_x
_atom_site_fract_y
_atom_site_fract_z
_atom_site_occupancy
Ho1 Ho 0.109 0.109 0.672 1
Pt1 Pt 0.500 0.500 0.500 1
Ho2 Ho 0.891 0.891 0.328 1
Dy1 Dy 0.000 0.000 0.000 1
# Energy relative to the lowest polymorph listed for this composition (meV/atom): 425
# Density of states at the Fermi level (states/eV/f.u.): 6.44
# Energy relative to the elements (kJ per mole of atoms): -29.0
# SG: No. 166

(5)
# Li5HoAu6 (PBE, relaxed)
data_Li5HoAu6
_chemical_formula_sum 'Li5 Ho1 Au6'
_cell_length_a 4.621
_cell_length_b 6.480
_cell_length_c 7.926
_cell_angle_alpha 114.13
_cell_angle_beta 106.95
_cell_angle_gamma 90.00
_space_group_name_H-M_alt 'P 1'
_space_group_IT_number 1
_space_group_name_Hall 'P 1'
loop_
_atom_site_label
_atom_site_type_symbol
_atom_site_fract_x
_atom_site_fract_y
_atom_site_fract_z
_atom_site_occupancy
Li1 Li 0.670 0.670 0.340 1
Ho1 Ho 0.000 0.000 0.000 1
Au1 Au 0.826 0.564 0.653 1
Li2 Li 0.336 0.836 0.671 1
Au2 Au 0.500 0.726 0.000 1
Au3 Au 0.174 0.436 0.347 1
Li3 Li 0.000 0.500 0.000 1
Li4 Li 0.330 0.330 0.660 1
Au4 Au 0.826 0.088 0.653 1
Au5 Au 0.174 0.912 0.347 1
Au6 Au 0.500 0.274 0.000 1
Li5 Li 0.664 0.164 0.329 1
# Density of states at the Fermi level (states/eV/f.u.): 3.88
# Energy relative to the elements (kJ per mole of atoms): -57.1
# SG: No. 71

(6)
# LiErZnGa (PBE, relaxed)
data_LiErZnGa
_chemical_formula_sum 'Li1 Er1 Zn1 Ga1'
_cell_length_a 4.755
_cell_length_b 4.755
_cell_length_c 4.755
_cell_angle_alpha 60.00
_cell_angle_beta 60.00
_cell_angle_gamma 60.00
_space_group_name_H-M_alt 'P 1'
_space_group_IT_number 1
_space_group_name_Hall 'P 1'
loop_
_atom_site_label
_atom_site_type_symbol
_atom_site_fract_x
_atom_site_fract_y
_atom_site_fract_z
_atom_site_occupancy
Zn1 Zn 0.750 0.750 0.750 1
Er1 Er 0.000 0.000 0.000 1
Ga1 Ga 0.250 0.250 0.250 1
Li1 Li 0.500 0.500 0.500 1
# Density of states at the Fermi level (states/eV/f.u.): 2.11
# Energy relative to the elements (kJ per mole of atoms): -36.3
# SG: No. 216

(7)
# GaHI4 (PBE, relaxed)
data_GaHI4
_chemical_formula_sum 'Ga2 H2 I8'
_cell_length_a 7.600
_cell_length_b 14.695
_cell_length_c 6.240
_cell_angle_alpha 110.05
_cell_angle_beta 111.74
_cell_angle_gamma 98.30
_space_group_name_H-M_alt 'P 1'
_space_group_IT_number 1
_space_group_name_Hall 'P 1'
loop_
_atom_site_label
_atom_site_type_symbol
_atom_site_fract_x
_atom_site_fract_y
_atom_site_fract_z
_atom_site_occupancy
I1 I 0.219 0.411 0.545 1
I2 I 0.781 0.589 0.455 1
Ga1 Ga 0.020 0.262 0.600 1
I3 I 0.771 0.325 0.741 1
I4 I 0.891 0.095 0.209 1
I5 I 0.109 0.905 0.791 1
I6 I 0.307 0.246 0.987 1
H1 H 0.743 0.675 0.746 1
Ga2 Ga 0.980 0.738 0.400 1
I7 I 0.229 0.675 0.259 1
I8 I 0.693 0.754 0.013 1
H2 H 0.257 0.325 0.254 1
# Density of states at the Fermi level (states/eV/f.u.): 0.00
# Raw total energy (eV for the cell shown): -28.9
# SG: No. 2

(8)
# TlSiRu2 (PBE, relaxed)
data_TlSiRu2
_chemical_formula_sum 'Tl1 Si1 Ru2'
_cell_length_a 5.112
_cell_length_b 5.112
_cell_length_c 5.112
_cell_angle_alpha 136.03
_cell_angle_beta 136.03
_cell_angle_gamma 63.93
_space_group_name_H-M_alt 'P 1'
_space_group_IT_number 1
_space_group_name_Hall 'P 1'
loop_
_atom_site_label
_atom_site_type_symbol
_atom_site_fract_x
_atom_site_fract_y
_atom_site_fract_z
_atom_site_occupancy
Si1 Si 0.500 0.500 0.000 1
Ru1 Ru 0.250 0.750 0.500 1
Ru2 Ru 0.000 0.000 0.000 1
Tl1 Tl 0.750 0.250 0.500 1
# Energy relative to the lowest polymorph listed for this composition (meV/atom): 556
# Density of states at the Fermi level (states/eV/f.u.): 4.84
# SG: No. 119

(9)
# Ca2TiAlZn (PBE, relaxed)
data_Ca2TiAlZn
_chemical_formula_sum 'Ca2 Ti1 Al1 Zn1'
_cell_length_a 5.749
_cell_length_b 4.614
_cell_length_c 5.749
_cell_angle_alpha 90.00
_cell_angle_beta 90.00
_cell_angle_gamma 90.00
_space_group_name_H-M_alt 'P 1'
_space_group_IT_number 1
_space_group_name_Hall 'P 1'
loop_
_atom_site_label
_atom_site_type_symbol
_atom_site_fract_x
_atom_site_fract_y
_atom_site_fract_z
_atom_site_occupancy
Ti1 Ti 0.500 0.500 0.500 1
Al1 Al 0.000 0.000 0.000 1
Ca1 Ca 0.500 0.000 0.000 1
Zn1 Zn 0.000 0.500 0.000 1
Ca2 Ca 0.000 0.000 0.500 1
# Energy relative to the lowest polymorph listed for this composition (meV/atom): 0
# Density of states at the Fermi level (states/eV/f.u.): 8.74
# Energy relative to the elements (kJ per mole of atoms): 68.9
# SG: No. 123

(10)
# In2IrRh2S6 (PBE, relaxed)
data_In2IrRh2S6
_chemical_formula_sum 'In2 Ir1 Rh2 S6'
_cell_length_a 6.301
_cell_length_b 6.301
_cell_length_c 6.807
_cell_angle_alpha 98.71
_cell_angle_beta 98.71
_cell_angle_gamma 120.16
_space_group_name_H-M_alt 'P 1'
_space_group_IT_number 1
_space_group_name_Hall 'P 1'
loop_
_atom_site_label
_atom_site_type_symbol
_atom_site_fract_x
_atom_site_fract_y
_atom_site_fract_z
_atom_site_occupancy
S1 S 0.944 0.609 0.317 1
In1 In 0.164 0.836 0.000 1
S2 S 0.056 0.391 0.683 1
Ir1 Ir 0.000 0.000 0.500 1
S3 S 0.270 0.270 0.317 1
S4 S 0.730 0.730 0.683 1
Rh1 Rh 0.332 0.668 0.500 1
S5 S 0.609 0.944 0.317 1
Rh2 Rh 0.668 0.332 0.500 1
S6 S 0.391 0.056 0.683 1
In2 In 0.836 0.164 0.000 1
# Density of states at the Fermi level (states/eV/f.u.): 3.38
# Raw total energy (eV for the cell shown): -57.9
# SG: No. 12